# Ga2NiMo, relaxed, DFT PBE
data_Ga2NiMo
_cell_length_a 6.122
_cell_length_b 6.122
_cell_length_c 6.122
_cell_angle_alpha 90.00
_cell_angle_beta 90.00
_cell_angle_gamma 90.00
_space_group_name_H-M_alt 'F -4 3 m'
_space_group_IT_number 216
_space_group_name_Hall 'F -4 2 3'
loop_
_atom_site_label
_atom_site_type_symbol
_atom_site_fract_x
_atom_site_fract_y
_atom_site_fract_z
_atom_site_occupancy
Ga1 Ga 0.000 0.000 0.000 1
Ga2 Ga 0.250 0.250 0.250 1
Ni1 Ni 0.250 0.250 0.750 1
Mo1 Mo 0.000 0.000 0.500 1
# - M_tot: 1.5 μB/f.u.
# - E: -87.041 eV for the cell shown

# GaNiMo2, relaxed, DFT PBE
data_GaNiMo2
_cell_length_a 6.136
_cell_length_b 6.136
_cell_length_c 6.136
_cell_angle_alpha 90.00
_cell_angle_beta 90.00
_cell_angle_gamma 90.00
_space_group_name_H-M_alt 'F -4 3 m'
_space_group_IT_number 216
_space_group_name_Hall 'F -4 2 3'
loop_
_atom_site_label
_atom_site_type_symbol
_atom_site_fract_x
_atom_site_fract_y
_atom_site_fract_z
_atom_site_occupancy
Ga1 Ga 0.000 0.000 0.000 1
Ni1 Ni 0.250 0.250 0.250 1
Mo1 Mo 0.000 0.000 0.500 1
Mo2 Mo 0.250 0.250 0.750 1
# - M_tot: 0.1 μB/f.u.
# - E: -119.777 eV for the cell shown

# GaNiMoPd, relaxed, DFT PBE
data_GaNiMoPd
_cell_length_a 6.105
_cell_length_b 6.105
_cell_length_c 6.105
_cell_angle_alpha 90.00
_cell_angle_beta 90.00
_cell_angle_gamma 90.00
_space_group_name_H-M_alt 'F -4 3 m'
_space_group_IT_number 216
_space_group_name_Hall 'F -4 2 3'
loop_
_atom_site_label
_atom_site_type_symbol
_atom_site_fract_x
_atom_site_fract_y
_atom_site_fract_z
_atom_site_occupancy
Ga1 Ga 0.000 0.000 0.000 1
Ni1 Ni 0.250 0.250 0.250 1
Mo1 Mo 0.250 0.250 0.750 1
Pd1 Pd 0.000 0.000 0.500 1
# - M_tot: 0.0 μB/f.u.
# - Distance to the lowest polymorph of the same formula: 0.000 eV per atom

# GaReNiMo, relaxed, DFT PBE
data_GaReNiMo
_cell_length_a 6.096
_cell_length_b 6.096
_cell_length_c 6.096
_cell_angle_alpha 90.00
_cell_angle_beta 90.00
_cell_angle_gamma 90.00
_space_group_name_H-M_alt 'F -4 3 m'
_space_group_IT_number 216
_space_group_name_Hall 'F -4 2 3'
loop_
_atom_site_label
_atom_site_type_symbol
_atom_site_fract_x
_atom_site_fract_y
_atom_site_fract_z
_atom_site_occupancy
Ga1 Ga 0.000 0.000 0.000 1
Re1 Re 0.000 0.000 0.500 1
Ni1 Ni 0.250 0.250 0.250 1
Mo1 Mo 0.250 0.250 0.750 1
# - M_tot: 0.7 μB/f.u.
# - E: -125.735 eV for the cell shown

- Among the records above, which one has the highest M_tot?
  Ga2NiMo

- Which formula does entry 3 have?
  GaNiMoPd